1.
A geometry-optimized Nd2CuIr structure. Source: Alexandria via LeMat-Bulk, functional PBE-GGA.

Results
total moment	0.00	μB/f.u.
formation energy	-500.3	meV/atom
mass density	9.57	Mg/m³

a = 5.7556 Å, b = 4.4266 Å, c = 7.9141 Å
α = 90.00°, β = 110.45°, γ = 90.00°
Space group P2_1/m (No. 11)
Asymmetric unit:
Nd 0.2177 0.2500 0.4365
Nd 0.2275 0.2500 0.9252
Cu 0.3515 0.7500 0.2133
Ir 0.3505 0.7500 0.7152

=====

2.
A geometry-optimized Th3Ge2P structure. Source: Alexandria via LeMat-Bulk, functional PBE-GGA.

Results
total moment	0.00	μB/f.u.
formation energy	-1028.9	meV/atom
mass density	8.88	Mg/m³

a = 4.2612 Å, b = 6.0125 Å, c = 12.7358 Å
α = 90.00°, β = 90.00°, γ = 90.00°
Space group Immm (No. 71)
Asymmetric unit:
Th 0.0000 0.0000 0.0000
Th 0.0000 0.0000 0.3376
Ge 0.0000 0.5000 0.3323
P 0.0000 0.5000 0.0000

=====

3.
A geometry-optimized ErTmCdOs structure. Source: Alexandria via LeMat-Bulk, functional PBE-GGA.

Results
excess energy over the best structure of this formula in the dataset	0.0	kJ/mol of atoms
total moment	0.00	μB/f.u.
formation energy	-359.2	meV/atom
mass density	11.84	Mg/m³

a = 3.4146 Å, b = 3.4146 Å, c = 7.6817 Å
α = 90.00°, β = 90.00°, γ = 90.00°
Space group P4mm (No. 99)
Asymmetric unit:
Er 0.0000 0.0000 0.0000
Tm 0.0000 0.0000 0.5748
Cd 0.5000 0.5000 0.2891
Os 0.5000 0.5000 0.7860